(1)
A relaxed structure of TlWF3, computed with PBE+U.

Distance to the lowest polymorph of the same formula   1.105 eV per atom
SG   No. 221
Total moment   4.972 μB per formula unit
Crystal system   cubic

Cell: 4.612 4.612 4.612 Å, 90.00 90.00 90.00°
Atoms (fractional coordinates):
Tl (0.000, 0.000, 0.000)
W (0.500, 0.500, 0.500)
F (0.000, 0.000, 0.500)
F (0.000, 0.500, 0.000)
F (0.500, 0.000, 0.000)

***

(2)
A relaxed structure of Tl3WF7, computed with PBE+U.

Total DFT energy (no corrections)   -4.76 eV per atom
SG   No. 160
Total moment   2.000 μB per formula unit
Crystal system   trigonal

Cell: 6.040 6.040 6.040 Å, 85.85 85.85 85.85°
Atoms (fractional coordinates):
Tl (0.174, 0.174, 0.652)
Tl (0.174, 0.652, 0.174)
Tl (0.652, 0.174, 0.174)
W (0.706, 0.706, 0.706)
F (0.478, 0.904, 0.904)
F (0.480, 0.480, 0.820)
F (0.480, 0.820, 0.480)
F (0.820, 0.480, 0.480)
F (0.896, 0.896, 0.896)
F (0.904, 0.478, 0.904)
F (0.904, 0.904, 0.478)

***

(3)
A relaxed structure of TlWF2, computed with PBE+U.

Distance to the lowest polymorph of the same formula   0.148 eV per atom
SG   No. 122
Total moment   3.038 μB per formula unit
Crystal system   tetragonal

Cell: 7.999 7.999 7.999 Å, 144.33 144.33 51.33°
Atoms (fractional coordinates):
Tl (0.000, 0.000, 0.000)
Tl (0.750, 0.250, 0.500)
W (0.250, 0.750, 0.500)
W (0.500, 0.500, 0.000)
F (0.334, 0.625, 0.209)
F (0.375, 0.584, 0.709)
F (0.416, 0.125, 0.791)
F (0.875, 0.666, 0.291)

***

(4)
A relaxed structure of TlWF2, computed with PBE+U.

Distance to the lowest polymorph of the same formula   0.000 eV per atom
SG   No. 166
Total moment   1.154 μB per formula unit
Crystal system   trigonal

Cell: 9.011 9.011 9.011 Å, 19.60 19.60 19.60°
Atoms (fractional coordinates):
Tl (0.000, 0.000, 0.000)
W (0.500, 0.500, 0.500)
F (0.426, 0.426, 0.426)
F (0.574, 0.574, 0.574)

***

(5)
A relaxed structure of TlWF3, computed with PBE+U.

Distance to the lowest polymorph of the same formula   0.000 eV per atom
SG   No. 221
Total moment   3.508 μB per formula unit
Crystal system   cubic

Cell: 4.456 4.456 4.456 Å, 90.00 90.00 90.00°
Atoms (fractional coordinates):
Tl (0.000, 0.000, 0.000)
W (0.500, 0.500, 0.500)
F (0.000, 0.500, 0.500)
F (0.500, 0.000, 0.500)
F (0.500, 0.500, 0.000)

***

(6)
A relaxed structure of TlW3F, computed with PBE+U.

Distance to the lowest polymorph of the same formula   0.739 eV per atom
SG   No. 221
Total moment   12.044 μB per formula unit
Crystal system   cubic

Cell: 5.481 5.481 5.481 Å, 90.00 90.00 90.00°
Atoms (fractional coordinates):
Tl (0.000, 0.000, 0.000)
W (0.000, 0.000, 0.500)
W (0.000, 0.500, 0.000)
W (0.500, 0.000, 0.000)
F (0.500, 0.500, 0.500)

***

(7)
A relaxed structure of TlW2F, computed with PBE+U.

Distance to the lowest polymorph of the same formula   0.000 eV per atom
SG   No. 122
Total moment   2.841 μB per formula unit
Crystal system   tetragonal

Cell: 11.111 11.111 11.111 Å, 160.06 160.06 28.34°
Atoms (fractional coordinates):
Tl (0.000, 0.000, 0.000)
Tl (0.750, 0.250, 0.500)
W (0.119, 0.625, 0.994)
W (0.375, 0.369, 0.494)
W (0.631, 0.125, 0.006)
W (0.875, 0.881, 0.506)
F (0.250, 0.750, 0.500)
F (0.500, 0.500, 0.000)

***

(8)
A relaxed structure of TlW2F, computed with PBE+U.

Distance to the lowest polymorph of the same formula   0.484 eV per atom
SG   No. 225
Total moment   0.000 μB per formula unit
Crystal system   cubic

Cell: 4.589 4.589 4.589 Å, 60.00 60.00 60.00°
Atoms (fractional coordinates):
Tl (0.000, 0.000, 0.000)
W (0.250, 0.250, 0.250)
W (0.750, 0.750, 0.750)
F (0.500, 0.500, 0.500)

***

(9)
A relaxed structure of Tl3W2F9, computed with PBE+U.

Total DFT energy (no corrections)   -4.93 eV per atom
SG   No. 167
Total moment   6.000 μB per formula unit
Crystal system   trigonal

Cell: 8.146 8.146 8.146 Å, 84.52 84.52 84.52°
Atoms (fractional coordinates):
Tl (0.119, 0.750, 0.381)
Tl (0.250, 0.619, 0.881)
Tl (0.381, 0.119, 0.750)
Tl (0.619, 0.881, 0.250)
Tl (0.750, 0.381, 0.119)
Tl (0.881, 0.250, 0.619)
W (0.151, 0.151, 0.151)
W (0.349, 0.349, 0.349)
W (0.651, 0.651, 0.651)
W (0.849, 0.849, 0.849)
F (0.082, 0.913, 0.753)
F (0.087, 0.247, 0.918)
F (0.106, 0.394, 0.250)
F (0.247, 0.918, 0.087)
F (0.250, 0.106, 0.394)
F (0.253, 0.413, 0.582)
F (0.394, 0.250, 0.106)
F (0.413, 0.582, 0.253)
F (0.418, 0.747, 0.587)
F (0.582, 0.253, 0.413)
F (0.587, 0.418, 0.747)
F (0.606, 0.750, 0.894)
F (0.747, 0.587, 0.418)
F (0.750, 0.894, 0.606)
F (0.753, 0.082, 0.913)
F (0.894, 0.606, 0.750)
F (0.913, 0.753, 0.082)
F (0.918, 0.087, 0.247)

***

(10)
A relaxed structure of TlW3F, computed with PBE+U.

Distance to the lowest polymorph of the same formula   0.000 eV per atom
SG   No. 221
Total moment   0.310 μB per formula unit
Crystal system   cubic

Cell: 4.428 4.428 4.428 Å, 90.00 90.00 90.00°
Atoms (fractional coordinates):
Tl (0.000, 0.000, 0.000)
W (0.000, 0.500, 0.500)
W (0.500, 0.000, 0.500)
W (0.500, 0.500, 0.000)
F (0.500, 0.500, 0.500)